! Ca2MnAl | Alexandria via LeMat-Bulk | GGA-PBEsol | relaxed; values from VASP
! DOS(E_F), states/eV per atom: 1.02
! SG: Amm2, No. 38
! Calculated total energy, eV per atom: -4.321
! M_tot, μB/atom: 0.8623
&SYSTEM
  ibrav = 0, nat = 4, ntyp = 3
/
ATOMIC_SPECIES
Ca 40.08 Ca.upf
Mn 54.94 Mn.upf
Al 26.98 Al.upf
CELL_PARAMETERS angstrom
-1.5196 3.3748 -0.7379
-2.8649 -0.5196 3.5233
4.7611 0.9091 4.0055
ATOMIC_POSITIONS angstrom
Ca 4.3845 0.9373 3.7034
Ca -1.0213 2.4601 2.4971
Mn 1.9859 1.5611 1.8450
Al 1.4094 1.8569 4.3847